[1]
## TmHg2TeO6 (PBE)

Data for a geometry-optimized TmHg2TeO6 structure.

The raw formation energy comes out at -1.33 eV per atom. Its density of states at the Fermi level is 9.76 states/eV per cell.

The structure belongs to space group R-3 (No. 148, hexagonal axes); the cell edges are 5.7511, 5.7511 and 14.6864 Å and the angles 90.00°, 90.00° and 120.00°. The distinct sites, in fractional coordinates, are Tm at (0.0000, 0.0000, 0.0000), Hg at (0.0000, 0.0000, 0.2494), Te at (0.0000, 0.0000, 0.5000) and O at (0.0192, 0.4059, 0.2462).

***

[2]
## UHgTeO (PBE)

Data for a geometry-optimized UHgTeO structure.

The raw formation energy comes out at -1.48 eV per atom. Its density of states at the Fermi level is 15.66 states/eV per cell.

The structure belongs to space group P4/nmm (No. 129, origin choice 2); the cell edges are 3.999, 3.999 and 12.495 Å and the angles 90.00°, 90.00° and 90.00°. The distinct sites, in fractional coordinates, are U at (0.250, 0.250, 0.096), Hg at (0.250, 0.750, 0.500), Te at (0.250, 0.250, 0.771) and O at (0.250, 0.750, 0.000).

***

What did the second record say?
## UHgTeO (PBE)

Data for a geometry-optimized UHgTeO structure.

The raw formation energy comes out at -1.48 eV per atom. Its density of states at the Fermi level is 15.66 states/eV per cell.

The structure belongs to space group P4/nmm (No. 129, origin choice 2); the cell edges are 3.999, 3.999 and 12.495 Å and the angles 90.00°, 90.00° and 90.00°. The distinct sites, in fractional coordinates, are U at (0.250, 0.250, 0.096), Hg at (0.250, 0.750, 0.500), Te at (0.250, 0.250, 0.771) and O at (0.250, 0.750, 0.000).

***

Question: Which value of raw formation energy does entry 1 give?
Answer: -1.33 eV per atom

***

Question: The highest raw formation energy belongs to which entry?
Answer: TmHg2TeO6